SrInBiCl | PBE | relaxed

Values from the calculation:
size of the total moment	0.000	μB/f.u.
E	-3.599	eV/atom

Lattice parameters (Å, degrees): 5.213 5.213 9.224 90.00 90.00 90.00
Positions (direct):
1 Sr 0.500 0.000 0.673
2 Sr 0.000 0.500 0.327
3 In 0.500 0.500 0.000
4 In 0.000 0.000 0.000
5 Bi 0.000 0.500 0.819
6 Bi 0.500 0.000 0.181
7 Cl 0.000 0.000 0.500
8 Cl 0.500 0.500 0.500